# Cd2Ag8Hg PBE optimized geometry
data_Cd2Ag8Hg
_chemical_formula_sum 'Cd2 Ag8 Hg1'
_space_group_name_H-M_alt 'P -1'
_space_group_IT_number 2
_cell_length_a 4.6467
_cell_length_b 5.7893
_cell_length_c 8.5494
_cell_angle_alpha 107.49
_cell_angle_beta 90.82
_cell_angle_gamma 90.13
loop_
_space_group_symop_operation_xyz
'x,y,z'
'-x,-y,-z'
loop_
_atom_site_label
_atom_site_type_symbol
_atom_site_fract_x
_atom_site_fract_y
_atom_site_fract_z
Cd1 Cd 0.2432 0.1614 0.3649
Ag1 Ag 0.2507 0.5634 0.0919
Ag2 Ag 0.2525 0.6873 0.4322
Ag3 Ag 0.2607 0.1360 0.7336
Ag4 Ag 0.2652 0.6208 0.7511
Hg1 Hg 0.0000 0.0000 0.0000
# - Calculated volume: 219 Å³ per cell
# - D(E_F): 0.201 states/eV/atom
# - Polymorph energy (0 for the lowest one): 0.0 meV per atom
# - Size of the total moment: 0.0000 μB/atom
# - Formation energy: 0.04 eV per atom